Record 1
LiSiAu2 | GGA-PBE | optimized geometry

```
LiSiAu2
1.0
4.151 0.000 0.000
0.000 2.958 -0.026
0.000 0.234 5.595
Au Si Li
2 1 1
direct
0.000 0.759 0.008
0.000 0.741 0.492
0.500 0.750 0.750
0.500 0.250 0.250
```

Computed properties:
**Total magnetic moment**: 0.0 Bohr magnetons per cell
**Final energy**: -14.71 eV/f.u.
**Energy relative to the elements, uncorrected**: -0.20 eV per atom

***

Record 2
LiSi3Au | GGA-PBE | optimized geometry

```
LiSi3Au
1.0
4.407 0.000 0.000
0.000 4.407 0.000
0.000 0.000 4.407
Li Si Au
1 3 1
direct
0.000 0.000 0.000
0.500 0.000 0.000
0.000 0.500 0.000
0.000 0.000 0.500
0.500 0.500 0.500
```

Computed properties:
**Total magnetic moment**: 0.0 Bohr magnetons per cell
**Final energy**: -17.45 eV/f.u.
**Offset from the most stable computed form**: 0.0 meV per atom
**Energy relative to the elements, uncorrected**: 0.80 eV per atom

***

Record 3
LiSiAu | GGA-PBE | optimized geometry

```
LiSiAu
1.0
4.588 0.000 0.012
0.000 4.224 0.000
-0.908 0.000 10.057
Li Si Au
4 4 4
direct
0.336 0.500 0.868
0.880 0.000 0.515
0.880 0.500 0.015
0.336 0.000 0.368
0.024 0.000 0.816
0.024 0.500 0.316
0.425 0.500 0.173
0.425 0.000 0.673
0.284 0.000 0.040
0.785 0.500 0.732
0.284 0.500 0.540
0.785 0.000 0.232
```

Computed properties:
**Total magnetic moment**: 0.0 Bohr magnetons per cell
**Final energy**: -11.55 eV/f.u.
**Energy relative to the elements, uncorrected**: -0.31 eV per atom

***

Record 4
Li6SiAu12 | GGA-PBE | optimized geometry

```
Li6SiAu12
1.0
-3.804 -4.536 -4.347
6.157 -3.602 1.746
-3.857 0.498 6.230
Au Li Si
12 6 1
direct
0.861 0.266 0.141
0.810 0.394 0.520
0.859 0.139 0.734
0.394 0.520 0.810
0.520 0.810 0.394
0.139 0.734 0.859
0.141 0.861 0.266
0.190 0.606 0.480
0.606 0.480 0.190
0.734 0.859 0.139
0.266 0.141 0.861
0.480 0.190 0.606
0.088 0.206 0.475
0.206 0.475 0.088
0.794 0.525 0.912
0.475 0.088 0.206
0.912 0.794 0.525
0.525 0.912 0.794
0.000 0.000 0.000
```

Computed properties:
**Total magnetic moment**: 0.0 Bohr magnetons per cell
**Final energy**: -62.66 eV/f.u.
**Offset from the most stable computed form**: 6.3 meV per atom
**Energy relative to the elements, uncorrected**: -0.34 eV per atom

***

Record 5
LiSiAu4 | GGA-PBE | optimized geometry

```
LiSiAu4
1.0
0.575 -1.075 5.363
-3.661 -3.199 2.572
1.439 -5.044 1.655
Au Li Si
4 1 1
direct
0.375 0.375 0.375
0.875 0.375 0.375
0.375 0.875 0.375
0.375 0.375 0.875
0.750 0.750 0.750
0.000 0.000 0.000
```

Computed properties:
**Total magnetic moment**: 0.0 Bohr magnetons per cell
**Final energy**: -19.81 eV/f.u.
**Offset from the most stable computed form**: 260.2 meV per atom
**Energy relative to the elements, uncorrected**: 0.11 eV per atom

***

Record 6
Li3SiAu4 | GGA-PBE | optimized geometry

```
Li3SiAu4
1.0
-2.668 -2.517 -4.824
5.746 -0.983 1.653
-0.787 -1.438 5.834
Au Li Si
4 3 1
direct
0.117 0.758 0.875
0.117 0.242 0.359
0.097 0.760 0.338
0.578 0.240 0.338
0.600 0.712 0.312
0.600 0.288 0.887
0.828 0.000 0.828
0.214 0.500 0.714
```

Computed properties:
**Total magnetic moment**: 0.0 Bohr magnetons per cell
**Final energy**: -26.77 eV/f.u.
**Offset from the most stable computed form**: 111.8 meV per atom
**Energy relative to the elements, uncorrected**: -0.31 eV per atom

***

Record 7
Li3SiAu | GGA-PBE | optimized geometry

```
Li3SiAu
1.0
6.340 -0.114 -0.084
1.333 7.063 -2.508
1.333 -0.325 7.488
Li Au Si
12 4 4
direct
0.903 0.978 0.258
0.158 0.633 0.023
0.625 0.321 0.365
0.875 0.635 0.679
0.597 0.742 0.022
0.125 0.365 0.321
0.658 0.023 0.633
0.342 0.977 0.367
0.097 0.022 0.742
0.375 0.679 0.635
0.842 0.367 0.977
0.403 0.258 0.978
0.250 0.326 0.674
0.250 0.979 0.021
0.750 0.021 0.979
0.750 0.674 0.326
0.573 0.428 0.759
0.427 0.572 0.241
0.073 0.759 0.428
0.927 0.241 0.572
```

Computed properties:
**Total magnetic moment**: 0.0 Bohr magnetons per cell
**Final energy**: -16.04 eV/f.u.
**Offset from the most stable computed form**: 43.1 meV per atom
**Energy relative to the elements, uncorrected**: -0.32 eV per atom

***

Record 8
Li6SiAu | GGA-PBE | optimized geometry

```
Li6SiAu
1.0
4.586 0.000 0.000
0.000 5.616 -0.180
0.000 -2.648 4.956
Li Si Au
6 1 1
direct
0.500 0.921 0.593
0.000 0.570 0.430
0.000 0.570 0.890
0.000 0.110 0.430
0.500 0.921 0.079
0.500 0.407 0.079
0.500 0.416 0.584
0.000 0.083 0.917
```

Computed properties:
**Total magnetic moment**: 0.0 Bohr magnetons per cell
**Final energy**: -22.43 eV/f.u.
**Offset from the most stable computed form**: 0.0 meV per atom
**Energy relative to the elements, uncorrected**: -0.28 eV per atom